Density functional theory data (PBEsol) for an optimized crystal structure of TcPt2Pb.

Cell: 5.5301 8.3788 2.8643 Å, 90.00 90.00 90.00°
Last column: nearest neighbours and their distance in Å.
Space group Cmmm (No. 65)
Unique sites:
Tc1 0.0000 0.0000 0.0000 [2 per cell]  2 Pb 2.77, 2 Tc 2.86, 8 Pt 2.89
Pt1 0.2500 0.2500 0.5000 [4 per cell]  4 Pt 2.77-2.86, 4 Pb 2.89, 4 Tc 2.89
Pb1 0.0000 0.5000 0.0000 [2 per cell]  2 Tc 2.77, 2 Pb 2.86, 8 Pt 2.89

Properties
Formation energy from the elements in meV per atom: 251.8
Total energy in eV/atom: -7.05